(1)
The following is a SCAN calculation of GaAs3W at its PBEsol-relaxed geometry, from Alexandria.

Cell: 4.871 4.871 4.871 Å, 90.00 90.00 90.00°
Element x y z (fractional)
Ga  0.000  0.000  0.000
As  0.000  0.500  0.500
As  0.500  0.000  0.500
As  0.500  0.500  0.000
W  0.500  0.500  0.500

## Properties
Crystal system: cubic
ΔE_f, kJ/mol of atoms: 55.7
Distance to the lowest polymorph of the same formula, eV per atom: 0.000

=====

(2)
The following is a SCAN calculation of YGaAs2 at its PBEsol-relaxed geometry, from Alexandria.

Cell: 6.899 6.899 7.673 Å, 90.00 90.00 90.00°
Element x y z (fractional)
Y  0.000  0.000  0.000
Y  0.000  0.500  0.250
Y  0.500  0.000  0.750
Y  0.500  0.500  0.500
Ga  0.000  0.000  0.500
Ga  0.000  0.500  0.750
Ga  0.500  0.000  0.250
Ga  0.500  0.500  0.000
As  0.202  0.250  0.625
As  0.250  0.702  0.875
As  0.250  0.798  0.375
As  0.298  0.250  0.125
As  0.702  0.750  0.125
As  0.750  0.202  0.375
As  0.750  0.298  0.875
As  0.798  0.750  0.625

## Properties
Crystal system: tetragonal
ΔE_f, kJ/mol of atoms: -69.3

=====

(3)
The following is a SCAN calculation of Na2GdMnAs2O9 at its PBEsol-relaxed geometry, from Alexandria.

Cell: 5.779 14.761 10.445 Å, 90.00 120.54 90.00°
Element x y z (fractional)
Na  0.083  0.137  0.319
Na  0.083  0.363  0.819
Na  0.367  0.229  0.098
Na  0.367  0.271  0.598
Na  0.633  0.729  0.402
Na  0.633  0.771  0.902
Na  0.917  0.637  0.181
Na  0.917  0.863  0.681
Gd  0.017  0.119  0.716
Gd  0.017  0.381  0.216
Gd  0.983  0.619  0.784
Gd  0.983  0.881  0.284
Mn  0.000  0.000  0.000
Mn  0.000  0.500  0.500
Mn  0.500  0.000  0.000
Mn  0.500  0.500  0.500
As  0.286  0.705  0.570
As  0.286  0.795  0.070
As  0.415  0.003  0.651
As  0.415  0.497  0.151
As  0.585  0.503  0.849
As  0.585  0.997  0.349
As  0.714  0.205  0.930
As  0.714  0.295  0.430
O  0.044  0.746  0.404
O  0.044  0.754  0.904
O  0.201  0.723  0.702
O  0.201  0.777  0.202
O  0.225  0.079  0.972
O  0.225  0.421  0.472
O  0.238  0.001  0.248
O  0.238  0.499  0.748
O  0.265  0.590  0.523
O  0.265  0.910  0.023
O  0.282  0.109  0.593
O  0.282  0.391  0.093
O  0.282  0.522  0.265
O  0.282  0.978  0.765
O  0.312  0.577  0.017
O  0.312  0.923  0.517
O  0.389  0.232  0.870
O  0.389  0.268  0.370
O  0.611  0.732  0.630
O  0.611  0.768  0.130
O  0.688  0.077  0.483
O  0.688  0.423  0.983
O  0.718  0.022  0.235
O  0.718  0.478  0.735
O  0.718  0.609  0.907
O  0.718  0.891  0.407
O  0.735  0.090  0.977
O  0.735  0.410  0.477
O  0.762  0.501  0.252
O  0.762  0.999  0.752
O  0.775  0.579  0.528
O  0.775  0.921  0.028
O  0.799  0.223  0.798
O  0.799  0.277  0.298
O  0.956  0.246  0.096
O  0.956  0.254  0.596

## Properties
Crystal system: monoclinic
Formation energy from raw total energies, eV/f.u.: -32.7

=====

(4)
The following is a SCAN calculation of GdAs2Pd3 at its PBEsol-relaxed geometry, from Alexandria.

Cell: 8.493 8.493 9.894 Å, 107.35 107.35 27.46°
Element x y z (fractional)
Gd  0.000  0.000  0.000
Gd  0.154  0.154  0.699
Gd  0.846  0.846  0.301
As  0.199  0.199  0.131
As  0.364  0.364  0.545
As  0.460  0.460  0.212
As  0.540  0.540  0.788
As  0.636  0.636  0.455
As  0.801  0.801  0.869
Pd  0.042  0.042  0.332
Pd  0.220  0.220  0.390
Pd  0.320  0.320  0.033
Pd  0.379  0.379  0.802
Pd  0.500  0.500  0.500
Pd  0.621  0.621  0.198
Pd  0.680  0.680  0.967
Pd  0.780  0.780  0.610
Pd  0.958  0.958  0.668

## Properties
Crystal system: monoclinic
ΔE_f, kJ/mol of atoms: -85.5

=====

(5)
The following is a SCAN calculation of GdAsS at its PBEsol-relaxed geometry, from Alexandria.

Cell: 16.848 3.803 3.833 Å, 90.00 90.00 90.00°
Element x y z (fractional)
Gd  0.146  0.250  0.237
Gd  0.354  0.750  0.737
Gd  0.646  0.250  0.263
Gd  0.854  0.750  0.763
As  0.001  0.250  0.720
As  0.499  0.750  0.220
As  0.501  0.250  0.780
As  0.999  0.750  0.280
S  0.186  0.750  0.739
S  0.314  0.250  0.239
S  0.686  0.750  0.761
S  0.814  0.250  0.261

## Properties
Crystal system: orthorhombic
Formation energy from raw total energies, eV/f.u.: -5.2

=====

(6)
The following is a SCAN calculation of GeAs2 at its PBEsol-relaxed geometry, from Alexandria.

Cell: 10.169 14.446 3.767 Å, 90.00 90.00 90.00°
Element x y z (fractional)
Ge  0.064  0.139  0.000
Ge  0.224  0.773  0.500
Ge  0.276  0.273  0.500
Ge  0.436  0.639  0.000
Ge  0.564  0.361  0.000
Ge  0.724  0.727  0.500
Ge  0.776  0.227  0.500
Ge  0.936  0.861  0.000
As  0.076  0.908  0.500
As  0.117  0.616  0.500
As  0.125  0.302  0.000
As  0.239  0.538  0.000
As  0.261  0.038  0.000
As  0.375  0.802  0.000
As  0.383  0.116  0.500
As  0.424  0.408  0.500
As  0.576  0.592  0.500
As  0.617  0.884  0.500
As  0.625  0.198  0.000
As  0.739  0.962  0.000
As  0.761  0.462  0.000
As  0.875  0.698  0.000
As  0.883  0.384  0.500
As  0.924  0.092  0.500

## Properties
Crystal system: orthorhombic
ΔE_f, kJ/mol of atoms: -4.4

=====

(7)
The following is a SCAN calculation of GeAs3H at its PBEsol-relaxed geometry, from Alexandria.

Cell: 4.904 4.904 4.904 Å, 90.00 90.00 90.00°
Element x y z (fractional)
Ge  0.000  0.000  0.000
As  0.000  0.000  0.500
As  0.000  0.500  0.000
As  0.500  0.000  0.000
H  0.500  0.500  0.500

## Properties
Crystal system: cubic
Total energy, eV per atom: -15.295

=====

(8)
The following is a SCAN calculation of GeAs2H at its PBEsol-relaxed geometry, from Alexandria.

Cell: 6.229 6.229 6.229 Å, 90.00 90.00 90.00°
Element x y z (fractional)
Ge  0.000  0.000  0.000
Ge  0.000  0.500  0.500
Ge  0.500  0.000  0.500
Ge  0.500  0.500  0.000
As  0.250  0.250  0.250
As  0.250  0.250  0.750
As  0.250  0.750  0.250
As  0.250  0.750  0.750
As  0.750  0.250  0.250
As  0.750  0.250  0.750
As  0.750  0.750  0.250
As  0.750  0.750  0.750
H  0.000  0.000  0.500
H  0.000  0.500  0.000
H  0.500  0.000  0.000
H  0.500  0.500  0.500

## Properties
Crystal system: cubic
Total energy, eV per atom: -15.041

=====

(9)
The following is a SCAN calculation of GeAs2HSe at its PBEsol-relaxed geometry, from Alexandria.

Cell: 3.912 3.912 5.468 Å, 90.00 90.00 90.00°
Element x y z (fractional)
Ge  0.000  0.000  0.000
As  0.000  0.500  0.500
As  0.500  0.000  0.500
H  0.500  0.500  0.500
Se  0.500  0.500  0.000

## Properties
Crystal system: tetragonal
Total energy, eV per atom: -16.019

=====

(10)
The following is a SCAN calculation of YHfGeAs2 at its PBEsol-relaxed geometry, from Alexandria.

Cell: 4.969 4.969 4.897 Å, 90.00 90.00 90.00°
Element x y z (fractional)
Y  0.000  0.000  0.000
Hf  0.500  0.500  0.000
Ge  0.500  0.500  0.500
As  0.000  0.500  0.500
As  0.500  0.000  0.500

## Properties
Crystal system: tetragonal
ΔE_f, kJ/mol of atoms: 29.7

=====

(11)
The following is a SCAN calculation of HgGeAsI2 at its PBEsol-relaxed geometry, from Alexandria.

Cell: 5.687 5.687 5.167 Å, 90.00 90.00 90.00°
Element x y z (fractional)
Hg  0.000  0.000  0.000
Ge  0.500  0.500  0.500
As  0.000  0.000  0.500
I  0.000  0.500  0.000
I  0.500  0.000  0.000

## Properties
Crystal system: tetragonal
Formation energy from raw total energies, eV/f.u.: 4.1

=====

(12)
The following is a SCAN calculation of GeAs3I at its PBEsol-relaxed geometry, from Alexandria.

Cell: 4.947 4.947 4.947 Å, 90.00 90.00 90.00°
Element x y z (fractional)
Ge  0.000  0.000  0.000
As  0.000  0.000  0.500
As  0.000  0.500  0.000
As  0.500  0.000  0.000
I  0.500  0.500  0.500

## Properties
Crystal system: cubic
Formation energy from raw total energies, eV/f.u.: 4.4